Record 1
{"formula": "ZrNb2Ir", "functional": "GGA-PBEsol", "state": "relaxed", "e_tot_ev_per_atom": -10.4181, "magmom_total_mub_per_cell": 0.0, "formation_enthalpy_0k_ev_per_atom": -0.279, "lattice": [[-3.654, -1.929, -1.975], [-1.304, -4.217, 1.222], [-3.853, -0.599, 2.403]], "species": ["Zr", "Nb", "Nb", "Ir"], "fractional_positions": [[0.000, 0.000, 0.000], [0.750, 0.750, 0.750], [0.250, 0.250, 0.250], [0.500, 0.500, 0.500]]}

---

Record 2
{"formula": "Ti2CrH2", "functional": "GGA-PBEsol", "state": "relaxed", "e_tot_ev_per_atom": -6.9604, "magmom_total_mub_per_cell": 0.0, "lattice": [[-2.896, -0.274, -0.933], [0.871, -2.034, -2.107], [0.288, -2.643, 4.886]], "species": ["H", "H", "Ti", "Cr", "Ti"], "fractional_positions": [[0.250, 0.750, 0.500], [0.750, 0.250, 0.500], [0.360, 0.360, 0.721], [0.000, 0.000, 0.000], [0.640, 0.640, 0.279]]}

---

Record 3
{"formula": "KTcPAu2", "functional": "GGA-PBEsol", "state": "relaxed", "e_tot_ev_per_atom": -3.5894, "magmom_total_mub_per_cell": 4.7, "formation_enthalpy_0k_ev_per_atom": 1.618, "lattice": [[4.940, 0.000, 0.000], [0.000, 4.940, 0.000], [0.000, 0.000, 5.840]], "species": ["K", "P", "Au", "Au", "Tc"], "fractional_positions": [[0.000, 0.000, 0.500], [0.500, 0.500, 0.500], [0.000, 0.500, 0.000], [0.500, 0.000, 0.000], [0.000, 0.000, 0.000]]}

---

Record 4
{"formula": "ZrSc2Cr", "functional": "GGA-PBEsol", "state": "relaxed", "e_tot_ev_per_atom": -7.8732, "magmom_total_mub_per_cell": 1.5, "relative_energy_kcal_per_mol_atoms": 0.00, "formation_enthalpy_0k_ev_per_atom": 0.262, "lattice": [[4.796, 0.000, 0.000], [2.398, 4.153, 0.000], [2.398, 1.384, 3.916]], "species": ["Cr", "Sc", "Sc", "Zr"], "fractional_positions": [[0.500, 0.500, 0.500], [0.750, 0.750, 0.750], [0.000, 0.000, 0.000], [0.250, 0.250, 0.250]]}

---

Record 5
{"formula": "MgZr2Si", "functional": "GGA-PBEsol", "state": "relaxed", "e_tot_ev_per_atom": -6.5378, "magmom_total_mub_per_cell": 0.0, "raw_formation_energy_mev_per_atom": -127, "lattice": [[3.006, 0.000, 0.000], [0.000, 5.310, 0.002], [-1.503, -1.278, 5.006]], "species": ["Zr", "Mg", "Zr", "Si"], "fractional_positions": [[0.226, 0.227, 0.452], [0.000, 0.500, 0.000], [0.774, 0.773, 0.548], [0.500, 0.000, 0.000]]}

---

Record 6
{"formula": "Zr2TlSi", "functional": "GGA-PBEsol", "state": "relaxed", "e_tot_ev_per_atom": -6.5361, "magmom_total_mub_per_cell": 0.0, "raw_formation_energy_mev_per_atom": 103, "lattice": [[-0.446, -3.131, 0.391], [0.831, -1.398, 2.740], [-8.712, 0.192, 4.592]], "species": ["Zr", "Si", "Tl", "Zr"], "fractional_positions": [[0.002, 0.002, 0.993], [0.497, 0.497, 0.510], [0.246, 0.246, 0.263], [0.756, 0.756, 0.733]]}

---

Record 7
{"formula": "Zr2TlSi", "functional": "GGA-PBEsol", "state": "relaxed", "e_tot_ev_per_atom": -6.9345, "magmom_total_mub_per_cell": 0.0, "raw_formation_energy_mev_per_atom": -295, "lattice": [[-2.575, 0.378, -1.680], [-2.525, -3.151, 3.162], [-0.591, 4.701, 1.963]], "species": ["Tl", "Si", "Zr", "Zr"], "fractional_positions": [[0.500, 0.500, 0.500], [0.500, 0.000, 0.000], [0.000, 0.500, 0.000], [0.000, 0.000, 0.500]]}

---

Record 8
{"formula": "SnPF3", "functional": "GGA-PBEsol", "state": "relaxed", "e_tot_ev_per_atom": -4.0929, "magmom_total_mub_per_cell": 0.0, "raw_formation_energy_mev_per_atom": -926, "lattice": [[4.271, 0.000, 0.000], [0.000, 4.271, 0.000], [0.000, 0.000, 4.271]], "species": ["F", "P", "F", "Sn", "F"], "fractional_positions": [[0.000, 0.000, 0.500], [0.000, 0.000, 0.000], [0.500, 0.000, 0.000], [0.500, 0.500, 0.500], [0.000, 0.500, 0.000]]}

---

Record 9
{"formula": "TlP2Pd", "functional": "GGA-PBEsol", "state": "relaxed", "e_tot_ev_per_atom": -4.5925, "magmom_total_mub_per_cell": 0.0, "relative_energy_kcal_per_mol_atoms": 7.74, "formation_enthalpy_0k_ev_per_atom": 0.450, "lattice": [[4.599, 0.000, 0.000], [2.299, 3.983, 0.000], [2.299, 1.328, 3.755]], "species": ["P", "Pd", "Tl", "P"], "fractional_positions": [[0.750, 0.750, 0.750], [0.000, 0.000, 0.000], [0.500, 0.500, 0.500], [0.250, 0.250, 0.250]]}

---

Record 10
{"formula": "AlTe2Se", "functional": "GGA-PBEsol", "state": "relaxed", "e_tot_ev_per_atom": -3.6112, "magmom_total_mub_per_cell": 0.0, "raw_formation_energy_mev_per_atom": 137, "lattice": [[-1.189, -3.301, -0.509], [3.279, -1.050, -0.846], [1.291, -1.529, 6.903]], "species": ["Te", "Se", "Al", "Te"], "fractional_positions": [[0.000, 0.000, 0.224], [0.500, 0.500, 0.500], [0.500, 0.500, 0.000], [0.000, 0.000, 0.776]]}

---

Record 11
{"formula": "YCu4Rh", "functional": "GGA-PBEsol", "state": "relaxed", "e_tot_ev_per_atom": -5.6320, "magmom_total_mub_per_cell": 0.0, "formation_enthalpy_0k_ev_per_atom": -0.249, "lattice": [[-4.274, -2.346, -0.430], [-1.505, -1.558, -4.389], [-0.072, -4.790, -1.004]], "species": ["Cu", "Cu", "Cu", "Rh", "Y", "Cu"], "fractional_positions": [[0.376, 0.376, 0.872], [0.376, 0.872, 0.376], [0.872, 0.376, 0.376], [0.750, 0.750, 0.750], [0.000, 0.000, 0.000], [0.376, 0.376, 0.376]]}

---

Record 12
{"formula": "Ni2IrOs", "functional": "GGA-PBEsol", "state": "relaxed", "e_tot_ev_per_atom": -8.5622, "magmom_total_mub_per_cell": 0.0, "relative_energy_kcal_per_mol_atoms": 0.33, "formation_enthalpy_0k_ev_per_atom": 0.026, "lattice": [[-0.776, 0.278, 2.523], [-0.155, -3.647, 0.354], [4.845, -0.061, 1.495]], "species": ["Ir", "Ni", "Os", "Ni"], "fractional_positions": [[0.500, 0.500, 0.748], [0.000, 0.000, 0.012], [0.000, 0.000, 0.497], [0.500, 0.500, 0.242]]}

---

Record 13
{"formula": "PmAg2Sn", "functional": "GGA-PBEsol", "state": "relaxed", "e_tot_ev_per_atom": -4.4224, "magmom_total_mub_per_cell": 0.0, "formation_enthalpy_0k_ev_per_atom": -0.418, "lattice": [[-1.344, -4.122, -2.361], [2.497, -1.484, -3.992], [2.858, -4.019, 0.229]], "species": ["Sn", "Ag", "Ag", "Pm"], "fractional_positions": [[0.000, 0.000, 0.000], [0.750, 0.750, 0.750], [0.250, 0.250, 0.250], [0.500, 0.500, 0.500]]}

---

Record 14
{"formula": "ZrAlTc2", "functional": "GGA-PBEsol", "state": "relaxed", "e_tot_ev_per_atom": -9.0726, "magmom_total_mub_per_cell": 0.0, "formation_enthalpy_0k_ev_per_atom": -0.144, "lattice": [[-1.386, 1.510, 2.448], [1.384, -3.376, 2.866], [3.618, 3.048, -1.912]], "species": ["Tc", "Al", "Tc", "Zr"], "fractional_positions": [[0.251, 0.251, 0.503], [0.500, 0.000, 0.000], [0.749, 0.749, 0.497], [0.000, 0.500, 0.000]]}

---

Record 15
{"formula": "MnSbAsBr2", "functional": "GGA-PBEsol", "state": "relaxed", "e_tot_ev_per_atom": -4.4358, "magmom_total_mub_per_cell": 3.9, "raw_formation_energy_mev_per_atom": 197, "lattice": [[-4.047, 1.900, 1.779], [-2.425, -3.948, -1.299], [1.010, -2.120, 4.560]], "species": ["As", "Sb", "Br", "Mn", "Br"], "fractional_positions": [[0.000, 0.000, 0.500], [0.500, 0.500, 0.500], [0.000, 0.500, 0.000], [0.000, 0.000, 0.000], [0.500, 0.000, 0.000]]}

---

Record 16
{"formula": "Cr3BRh", "functional": "GGA-PBEsol", "state": "relaxed", "e_tot_ev_per_atom": -8.9787, "magmom_total_mub_per_cell": 0.0, "formation_enthalpy_0k_ev_per_atom": 0.197, "lattice": [[-3.592, -1.222, -0.496], [1.313, -3.449, -1.010], [-0.124, -1.118, 3.657]], "species": ["Cr", "B", "Rh", "Cr", "Cr"], "fractional_positions": [[0.000, 0.500, 0.000], [0.000, 0.000, 0.000], [0.500, 0.500, 0.500], [0.000, 0.000, 0.500], [0.500, 0.000, 0.000]]}

---

Record 17
{"formula": "MnCd2Co", "functional": "GGA-PBEsol", "state": "relaxed", "e_tot_ev_per_atom": -4.5992, "magmom_total_mub_per_cell": 4.7, "relative_energy_kcal_per_mol_atoms": 0.84, "formation_enthalpy_0k_ev_per_atom": 0.374, "lattice": [[-1.696, 1.961, 1.196], [-3.094, -0.484, -3.601], [-1.176, -3.108, 3.425]], "species": ["Co", "Cd", "Cd", "Mn"], "fractional_positions": [[0.500, 0.500, 0.500], [0.000, 0.000, 0.500], [0.000, 0.500, 0.000], [0.500, 0.000, 0.000]]}

---

Record 18
{"formula": "CrAg2Ir", "functional": "GGA-PBEsol", "state": "relaxed", "e_tot_ev_per_atom": -6.0807, "magmom_total_mub_per_cell": 0.0, "relative_energy_kcal_per_mol_atoms": 5.93, "formation_enthalpy_0k_ev_per_atom": 0.591, "lattice": [[-1.505, 2.124, -0.457], [-1.236, -2.305, 0.379], [-0.380, 1.742, 9.347]], "species": ["Ag", "Ag", "Cr", "Ir"], "fractional_positions": [[0.000, 0.000, 0.257], [0.000, 0.000, 0.743], [0.500, 0.500, 0.500], [0.500, 0.500, 0.000]]}

---

Record 19
{"formula": "Tl2TcOsN", "functional": "GGA-PBEsol", "state": "relaxed", "e_tot_ev_per_atom": -6.0552, "magmom_total_mub_per_cell": 3.1, "raw_formation_energy_mev_per_atom": 1399, "lattice": [[3.626, 0.000, 0.000], [0.000, 5.318, 0.000], [0.000, 0.000, 5.318]], "species": ["Os", "Tc", "N", "Tl", "Tl"], "fractional_positions": [[0.500, 0.500, 0.500], [0.000, 0.000, 0.000], [0.500, 0.000, 0.000], [0.000, 0.500, 0.000], [0.000, 0.000, 0.500]]}

---

Record 20
{"formula": "NiAs2SeCl", "functional": "GGA-PBEsol", "state": "relaxed", "e_tot_ev_per_atom": -4.0477, "magmom_total_mub_per_cell": 0.0, "raw_formation_energy_mev_per_atom": 398, "lattice": [[4.548, 0.000, 0.000], [0.000, 4.646, 0.000], [0.000, 0.000, 4.646]], "species": ["As", "As", "Ni", "Se", "Cl"], "fractional_positions": [[0.000, 0.500, 0.000], [0.000, 0.000, 0.500], [0.000, 0.000, 0.000], [0.500, 0.000, 0.000], [0.500, 0.500, 0.500]]}

---

Record 21
{"formula": "BeTlAsBr2", "functional": "GGA-PBEsol", "state": "relaxed", "e_tot_ev_per_atom": -3.1937, "magmom_total_mub_per_cell": 0.0, "raw_formation_energy_mev_per_atom": -98, "lattice": [[4.456, 0.000, 0.000], [0.000, 5.086, 0.000], [0.000, 0.000, 5.086]], "species": ["Be", "Tl", "As", "Br", "Br"], "fractional_positions": [[0.000, 0.000, 0.000], [0.500, 0.500, 0.500], [0.500, 0.000, 0.000], [0.000, 0.000, 0.500], [0.000, 0.500, 0.000]]}

---

Record 22
{"formula": "LiCoS2", "functional": "GGA-PBEsol", "state": "relaxed", "e_tot_ev_per_atom": -5.3887, "magmom_total_mub_per_cell": 0.0, "raw_formation_energy_mev_per_atom": -771, "relative_energy_kcal_per_mol_atoms": 1.36, "lattice": [[3.359, 0.000, 0.000], [1.680, 2.909, 0.000], [1.680, 0.970, 6.124]], "species": ["S", "Co", "S", "Li"], "fractional_positions": [[0.275, 0.275, 0.175], [0.002, 0.002, 0.995], [0.731, 0.731, 0.806], [0.145, 0.145, 0.564]]}

---

Record 23
{"formula": "TaAgO2F", "functional": "GGA-PBEsol", "state": "relaxed", "e_tot_ev_per_atom": -7.4812, "magmom_total_mub_per_cell": 0.0, "raw_formation_energy_mev_per_atom": -1824, "lattice": [[3.947, 0.000, 0.000], [0.000, 3.947, 0.000], [0.000, 0.000, 4.146]], "species": ["F", "Ta", "Ag", "O", "O"], "fractional_positions": [[0.000, 0.000, 0.500], [0.000, 0.000, 0.000], [0.500, 0.500, 0.500], [0.000, 0.500, 0.000], [0.500, 0.000, 0.000]]}

---

Record 24
{"formula": "Li2MnPd", "functional": "GGA-PBEsol", "state": "relaxed", "e_tot_ev_per_atom": -4.6315, "magmom_total_mub_per_cell": 8.7, "formation_enthalpy_0k_ev_per_atom": 0.282, "lattice": [[5.084, 0.000, 0.000], [2.542, 4.862, 0.000], [2.542, 0.000, 4.862]], "species": ["Pd", "Li", "Mn", "Li", "Li", "Pd", "Mn", "Li"], "fractional_positions": [[0.000, 0.000, 0.000], [0.875, 0.016, 0.484], [0.500, 0.000, 0.000], [0.375, 0.984, 0.516], [0.641, 0.484, 0.984], [0.750, 0.500, 0.500], [0.250, 0.500, 0.500], [0.109, 0.516, 0.016]]}

---

Record 25
{"formula": "NaSr2Rh", "functional": "GGA-PBEsol", "state": "relaxed", "e_tot_ev_per_atom": -3.2729, "magmom_total_mub_per_cell": 0.0, "formation_enthalpy_0k_ev_per_atom": 0.032, "lattice": [[5.362, 0.000, 0.000], [2.681, 4.643, 0.000], [2.681, 1.548, 4.378]], "species": ["Rh", "Sr", "Sr", "Na"], "fractional_positions": [[0.500, 0.500, 0.500], [0.250, 0.250, 0.250], [0.750, 0.750, 0.750], [0.000, 0.000, 0.000]]}

---

Record 26
{"formula": "BaCaBe2N", "functional": "GGA-PBEsol", "state": "relaxed", "e_tot_ev_per_atom": -2.0160, "magmom_total_mub_per_cell": 0.4, "raw_formation_energy_mev_per_atom": 2146, "lattice": [[4.832, 0.000, 0.000], [0.000, 4.832, 0.000], [0.000, 0.000, 7.224]], "species": ["Be", "Be", "N", "Ca", "Ba"], "fractional_positions": [[0.500, 0.000, 0.000], [0.000, 0.500, 0.000], [0.500, 0.500, 0.500], [0.000, 0.000, 0.000], [0.000, 0.000, 0.500]]}

---

Record 27
{"formula": "Ag4Au3", "functional": "GGA-PBEsol", "state": "relaxed", "e_tot_ev_per_atom": -3.5822, "magmom_total_mub_per_cell": 0.0, "formation_enthalpy_0k_ev_per_atom": -0.008, "lattice": [[-2.339, 0.358, -2.442], [-0.824, -3.285, 0.307], [-5.395, 3.870, 8.104]], "species": ["Au", "Ag", "Au", "Ag", "Ag", "Au", "Ag"], "fractional_positions": [[0.286, 0.286, 0.572], [0.143, 0.143, 0.286], [0.714, 0.714, 0.428], [0.571, 0.571, 0.143], [0.857, 0.857, 0.714], [0.000, 0.000, 0.000], [0.429, 0.429, 0.857]]}

---

Record 28
{"formula": "YClF2", "functional": "GGA-PBEsol", "state": "relaxed", "e_tot_ev_per_atom": -6.3413, "magmom_total_mub_per_cell": 0.0, "raw_formation_energy_mev_per_atom": -3170, "lattice": [[4.641, 0.000, 0.000], [0.000, 4.641, 0.000], [-2.320, -2.320, 7.008]], "species": ["Y", "F", "Cl", "F", "Cl", "F", "Y", "F"], "fractional_positions": [[0.000, 0.000, 0.000], [0.179, 0.875, 0.250], [0.500, 0.500, 0.000], [0.125, 0.929, 0.750], [0.750, 0.250, 0.500], [0.625, 0.821, 0.750], [0.250, 0.750, 0.500], [0.071, 0.375, 0.250]]}

---

Record 29
{"formula": "Mo2WAu", "functional": "GGA-PBEsol", "state": "relaxed", "e_tot_ev_per_atom": -10.0470, "magmom_total_mub_per_cell": 0.0, "relative_energy_kcal_per_mol_atoms": 2.96, "formation_enthalpy_0k_ev_per_atom": 0.270, "lattice": [[-1.526, -1.331, 1.724], [2.101, -1.456, 0.735], [1.933, 5.985, 6.332]], "species": ["W", "Mo", "Mo", "Au"], "fractional_positions": [[0.500, 0.500, 0.000], [0.000, 0.000, 0.251], [0.000, 0.000, 0.749], [0.500, 0.500, 0.500]]}